Entry 1:
An optimized crystal structure of SmEr5Ga4, computed with PBE.

## Properties
* E_tot: -4.241 eV/atom
* energy of formation: -0.28 eV per atom
* theoretical density: 7.7 g cm⁻³

abc: 8.7856 8.7856 8.6988
angles: 96.78 96.78 24.10
Atoms (fractional coordinates):
Sm 0.0000 0.0000 0.0000
Er 0.0000 0.0000 0.5000
Er 0.3113 0.3113 0.6571
Er 0.3502 0.3502 0.2265
Er 0.6498 0.6498 0.7735
Er 0.6887 0.6887 0.3429
Ga 0.1876 0.1876 0.0543
Ga 0.4765 0.4765 0.7372
Ga 0.5235 0.5235 0.2628
Ga 0.8124 0.8124 0.9457

Entry 2:
An optimized crystal structure of V2InCl, computed with PBE.

## Properties
* E_tot: -5.062 eV/atom
* theoretical density: 6.3 g cm⁻³

abc: 6.4358 6.4358 6.4358
angles: 90.00 90.00 90.00
Atoms (fractional coordinates):
V 0.2500 0.2500 0.2500
V 0.2500 0.2500 0.7500
V 0.2500 0.7500 0.2500
V 0.2500 0.7500 0.7500
V 0.7500 0.2500 0.2500
V 0.7500 0.2500 0.7500
V 0.7500 0.7500 0.2500
V 0.7500 0.7500 0.7500
In 0.0000 0.0000 0.0000
In 0.0000 0.5000 0.5000
In 0.5000 0.0000 0.5000
In 0.5000 0.5000 0.0000
Cl 0.0000 0.0000 0.5000
Cl 0.0000 0.5000 0.0000
Cl 0.5000 0.0000 0.0000
Cl 0.5000 0.5000 0.5000

Entry 3:
An optimized crystal structure of K3Pm2AlSe6, computed with PBE.

## Properties
* E_tot: -4.580 eV/atom
* theoretical density: 4.3 g cm⁻³

abc: 7.2537 7.2537 8.0611
angles: 98.70 98.70 120.05
Atoms (fractional coordinates):
K 0.0000 0.0000 0.0000
K 0.3283 0.6717 0.0000
K 0.6717 0.3283 0.0000
Pm 0.1661 0.8339 0.5000
Pm 0.8339 0.1661 0.5000
Al 0.5000 0.5000 0.5000
Se 0.1293 0.4337 0.3009
Se 0.2639 0.2639 0.6993
Se 0.4337 0.1293 0.3009
Se 0.5663 0.8707 0.6991
Se 0.7361 0.7361 0.3007
Se 0.8707 0.5663 0.6991

Entry 4:
An optimized crystal structure of Na3U3AlN8, computed with PBE.

## Properties
* E_tot: -8.090 eV/atom
* theoretical density: 6.8 g cm⁻³

abc: 6.8638 6.8638 6.8638
angles: 59.11 59.11 59.11
Atoms (fractional coordinates):
Na 0.0000 0.5000 0.5000
Na 0.5000 0.0000 0.5000
Na 0.5000 0.5000 0.0000
U 0.0000 0.0000 0.5000
U 0.0000 0.5000 0.0000
U 0.5000 0.0000 0.0000
Al 0.5000 0.5000 0.5000
N 0.2242 0.7236 0.7236
N 0.2287 0.2287 0.2287
N 0.2764 0.2764 0.7758
N 0.2764 0.7758 0.2764
N 0.7236 0.2242 0.7236
N 0.7236 0.7236 0.2242
N 0.7713 0.7713 0.7713
N 0.7758 0.2764 0.2764

Entry 5:
An optimized crystal structure of Si2BrCl, computed with PBE.

## Properties
* E_tot: -3.061 eV/atom
* theoretical density: 3.2 g cm⁻³

abc: 3.8708 3.8708 12.0181
angles: 90.00 90.00 90.00
Atoms (fractional coordinates):
Si 0.0000 0.0000 0.0000
Si 0.0000 0.5000 0.2500
Si 0.5000 0.0000 0.7500
Si 0.5000 0.5000 0.5000
Br 0.0000 0.5000 0.7500
Br 0.5000 0.0000 0.2500
Cl 0.0000 0.0000 0.5000
Cl 0.5000 0.5000 0.0000

Entry 6:
An optimized crystal structure of La2TcSe, computed with PBE.

## Properties
* E_tot: -6.511 eV/atom
* theoretical density: 6.8 g cm⁻³

abc: 6.9638 3.9758 8.2948
angles: 90.00 105.52 90.00
Atoms (fractional coordinates):
La 0.2503 0.0000 0.2421
La 0.2497 0.5000 0.7579
La 0.7497 0.0000 0.7579
La 0.7503 0.5000 0.2421
Tc 0.0000 0.5000 0.0000
Tc 0.5000 0.0000 0.0000
Se 0.0000 0.0000 0.5000
Se 0.5000 0.5000 0.5000

Entry 7:
An optimized crystal structure of Mn3ZnFe, computed with PBE.

## Properties
* E_tot: -6.475 eV/atom
* energy of formation: 0.97 eV per atom
* theoretical density: 6.1 g cm⁻³

abc: 4.2812 4.2812 4.2812
angles: 90.00 90.00 90.00
Atoms (fractional coordinates):
Mn 0.0000 0.0000 0.5000
Mn 0.0000 0.5000 0.0000
Mn 0.5000 0.0000 0.0000
Zn 0.5000 0.5000 0.5000
Fe 0.0000 0.0000 0.0000

Entry 8:
An optimized crystal structure of Tc3Hg, computed with PBE.

## Properties
* E_tot: -7.389 eV/atom
* energy of formation: 0.46 eV per atom
* theoretical density: 12.9 g cm⁻³

abc: 4.9048 9.2286 5.6158
angles: 90.00 90.00 90.00
Atoms (fractional coordinates):
Tc 0.0749 0.2500 0.1367
Tc 0.2371 0.5123 0.8618
Tc 0.2371 0.9877 0.8618
Tc 0.2629 0.0123 0.3618
Tc 0.2629 0.4877 0.3618
Tc 0.4251 0.7500 0.6367
Tc 0.5749 0.2500 0.3633
Tc 0.7371 0.5123 0.6382
Tc 0.7371 0.9877 0.6382
Tc 0.7629 0.0123 0.1382
Tc 0.7629 0.4877 0.1382
Tc 0.9251 0.7500 0.8633
Hg 0.0756 0.2500 0.6265
Hg 0.4244 0.7500 0.1265
Hg 0.5756 0.2500 0.8735
Hg 0.9244 0.7500 0.3735

Q: Which value of E_tot does entry 2 give?
A: -5.062 eV/atom